IrWO6: relaxed, PBE+U.

Unit cell a=5.3623 b=5.3680 c=9.3284 alpha=90.00 beta=125.07 gamma=90.00
Space group P2_1/c (No. 14)
Inequivalent atoms, fractional coordinates:
Ir 0.0000 0.0000 0.0000 [2 per cell]
W 0.5000 0.0000 0.5000 [2 per cell]
O 0.2061 0.2185 0.4903 [4 per cell]
O 0.2679 0.0022 0.2485 [4 per cell]
O 0.2714 0.7164 0.4902 [4 per cell]

Properties
DOS at the Fermi energy: 4.84 states/eV/f.u.
uncorrected energy: -110.79 eV/cell
spin magnetization: 0.00 μB/f.u.